#A
Material: HgIrSN2
Method: DFT, PBE
State: relaxed

Output
Density of states at the Fermi level = 1.118 states/eV per atom
Size of the total moment = 4.71 μB/f.u.
ρ = 7.97 Mg/m³

Cell: 3.979 3.979 5.962 Å, 90.00 90.00 90.00°
Fractional positions:
Hg 0.000 0.000 0.000
Ir 0.500 0.500 0.500
S 0.000 0.000 0.500
N 0.000 0.500 0.000
N 0.500 0.000 0.000

#B
Material: HgIrSN2
Method: DFT, PBE
State: relaxed

Output
Density of states at the Fermi level = 0.396 states/eV per atom
Size of the total moment = 0.00 μB/f.u.
ρ = 9.40 Mg/m³

Cell: 3.798 3.798 5.547 Å, 90.00 90.00 90.00°
Fractional positions:
Hg 0.000 0.000 0.000
Ir 0.500 0.500 0.500
S 0.500 0.500 0.000
N 0.000 0.500 0.500
N 0.500 0.000 0.500

Verdict on stability: #B comes out on top.

#A
Material: HgIrS2N
Method: DFT, PBE
State: relaxed

Output
Density of states at the Fermi level = 0.564 states/eV per atom
Size of the total moment = 0.00 μB/f.u.
ρ = 8.66 Mg/m³

Cell: 4.959 4.959 3.671 Å, 90.00 90.00 90.00°
Fractional positions:
Hg 0.000 0.000 0.000
Ir 0.500 0.500 0.500
S 0.000 0.500 0.500
S 0.500 0.000 0.500
N 0.500 0.500 0.000

#B
Material: HgIrS2N
Method: DFT, PBE
State: relaxed

Output
Density of states at the Fermi level = 1.603 states/eV per atom
Size of the total moment = 0.42 μB/f.u.
ρ = 8.05 Mg/m³

Cell: 5.023 5.023 3.849 Å, 90.00 90.00 90.00°
Fractional positions:
Hg 0.000 0.000 0.000
Ir 0.500 0.500 0.500
S 0.000 0.500 0.000
S 0.500 0.000 0.000
N 0.000 0.000 0.500

Verdict on stability: #A comes out on top.

#A
Material: HgIrSe2N
Method: DFT, PBE
State: relaxed

Output
Density of states at the Fermi level = 0.721 states/eV per atom
Size of the total moment = 0.00 μB/f.u.
ρ = 9.31 Mg/m³

Cell: 5.243 5.243 3.663 Å, 90.00 90.00 90.00°
Fractional positions:
Hg 0.000 0.000 0.000
Ir 0.500 0.500 0.500
Se 0.000 0.500 0.500
Se 0.500 0.000 0.500
N 0.500 0.500 0.000

#B
Material: HgIrSe2N
Method: DFT, PBE
State: relaxed

Output
Density of states at the Fermi level = 0.856 states/eV per atom
Size of the total moment = 1.96 μB/f.u.
ρ = 8.61 Mg/m³

Cell: 5.256 5.256 3.944 Å, 90.00 90.00 90.00°
Fractional positions:
Hg 0.000 0.000 0.000
Ir 0.500 0.500 0.500
Se 0.000 0.500 0.000
Se 0.500 0.000 0.000
N 0.000 0.000 0.500

Verdict on stability: #A comes out on top.

#A
Material: HgTe2IrN
Method: DFT, PBE
State: relaxed

Output
Density of states at the Fermi level = 0.778 states/eV per atom
Size of the total moment = 1.45 μB/f.u.
ρ = 8.99 Mg/m³

Cell: 5.600 5.600 3.897 Å, 90.00 90.00 90.00°
Fractional positions:
Hg 0.000 0.000 0.000
Te 0.000 0.500 0.000
Te 0.500 0.000 0.000
Ir 0.500 0.500 0.500
N 0.000 0.000 0.500

#B
Material: HgTe2IrN
Method: DFT, PBE
State: relaxed

Output
Density of states at the Fermi level = 0.889 states/eV per atom
Size of the total moment = 0.00 μB/f.u.
ρ = 9.39 Mg/m³

Cell: 5.659 5.659 3.654 Å, 90.00 90.00 90.00°
Fractional positions:
Hg 0.000 0.000 0.000
Te 0.000 0.500 0.500
Te 0.500 0.000 0.500
Ir 0.500 0.500 0.500
N 0.500 0.500 0.000

Verdict on stability: #B comes out on top.